(1)
{"formula": "Cs4Rb3NaH8", "functional": "GGA-PBE", "state": "relaxed", "energy_ev_per_atom": -2.29, "magnetic_moment_mub_per_atom": 0.0000, "crystal_system": "monoclinic", "dos_at_fermi_per_ev_cell": 0.00, "cell": [[8.5368, 0.0000, 0.0000], [0.0000, 8.5945, 0.0285], [-4.2684, -4.2681, 6.0590]], "species": ["Cs", "Cs", "Cs", "Cs", "Rb", "Rb", "Rb", "Na", "H", "H", "H", "H", "H", "H", "H", "H"], "frac_coords": [[0.5000, 0.0000, 0.0000], [0.5000, 0.0000, 0.5000], [0.0000, 0.0000, 0.0000], [0.0000, 0.0000, 0.5000], [0.5000, 0.5000, 0.0000], [0.5000, 0.5000, 0.5000], [0.0000, 0.5000, 0.5000], [0.0000, 0.5000, 0.0000], [0.2324, 0.7232, 0.9910], [0.2361, 0.7268, 0.4722], [0.2550, 0.2652, 0.5099], [0.7586, 0.7232, 0.9910], [0.2414, 0.2768, 0.0090], [0.7450, 0.7348, 0.4901], [0.7639, 0.2732, 0.5278], [0.7676, 0.2768, 0.0090]]}

(2)
{"formula": "Cs2RbNaH4", "functional": "GGA-PBE", "state": "relaxed", "energy_ev_per_atom": -2.30, "magnetic_moment_mub_per_atom": 0.0000, "crystal_system": "orthorhombic", "dos_at_fermi_per_ev_cell": 0.00, "cell": [[-1.1982, 3.8257, -1.2581], [-5.6835, -2.8598, 3.7329], [5.4612, 5.9416, 12.8666]], "species": ["Cs", "Cs", "Cs", "Cs", "Rb", "Rb", "Na", "Na", "H", "H", "H", "H", "H", "H", "H", "H"], "frac_coords": [[0.3652, 0.7304, 0.5418], [0.6348, 0.2696, 0.0418], [0.6348, 0.2696, 0.4582], [0.3652, 0.7304, 0.9582], [0.1154, 0.2309, 0.7500], [0.8846, 0.7691, 0.2500], [0.8356, 0.6712, 0.7500], [0.1644, 0.3288, 0.2500], [0.2709, 0.5418, 0.1413], [0.7291, 0.4582, 0.6413], [0.7291, 0.4582, 0.8587], [0.2709, 0.5418, 0.3587], [0.0000, 0.0000, 0.5000], [0.0000, 0.0000, 0.0000], [0.4218, 0.8436, 0.7500], [0.5782, 0.1564, 0.2500]]}

(3)
{"formula": "Cs2RbNaH", "functional": "GGA-PBE", "state": "relaxed", "energy_ev_per_atom": -1.48, "magnetic_moment_mub_per_atom": 0.0001, "crystal_system": "tetragonal", "dos_at_fermi_per_ev_cell": 3.94, "cell": [[6.5668, 0.0000, 0.0000], [0.0000, 6.5668, 0.0000], [0.0000, 0.0000, 6.3770]], "species": ["Cs", "Cs", "Na", "Rb", "H"], "frac_coords": [[0.0000, 0.5000, 0.0000], [0.5000, 0.0000, 0.0000], [0.5000, 0.5000, 0.5000], [0.0000, 0.0000, 0.5000], [0.0000, 0.0000, 0.0000]]}

(4)
{"formula": "Cs2Rb6NaH", "functional": "GGA-PBE", "state": "relaxed", "energy_ev_per_atom": -1.18, "magnetic_moment_mub_per_atom": 0.0000, "crystal_system": "triclinic", "dos_at_fermi_per_ev_cell": 8.60, "cell": [[9.7707, 0.0036, -0.0293], [0.0036, 9.7709, -0.0206], [-4.9140, -4.9067, 8.2665]], "species": ["Cs", "Cs", "Rb", "Rb", "Rb", "Rb", "Rb", "Rb", "Na", "H"], "frac_coords": [[0.7762, 0.2718, 0.5442], [0.2705, 0.7750, 0.5444], [0.7893, 0.7901, 0.0162], [0.7133, 0.7148, 0.4306], [0.2258, 0.2265, 0.0171], [0.7902, 0.2266, 0.0163], [0.2186, 0.2176, 0.4295], [0.2260, 0.7908, 0.0164], [0.4468, 0.4476, 0.8980], [0.0423, 0.0431, 0.0852]]}

(5)
{"formula": "CsRb2NaH4", "functional": "GGA-PBE", "state": "relaxed", "energy_ev_per_atom": -2.35, "magnetic_moment_mub_per_atom": 0.0032, "crystal_system": "orthorhombic", "dos_at_fermi_per_ev_cell": 0.00, "cell": [[4.1548, 0.0000, 0.0000], [-2.0774, 7.0332, 0.0000], [0.0000, 0.0000, 14.2819]], "species": ["Cs", "Cs", "Rb", "Rb", "Rb", "Rb", "Na", "Na", "H", "H", "H", "H", "H", "H", "H", "H"], "frac_coords": [[0.1085, 0.2171, 0.7500], [0.8915, 0.7829, 0.2500], [0.3676, 0.7353, 0.5418], [0.6324, 0.2647, 0.0418], [0.6324, 0.2647, 0.4582], [0.3676, 0.7353, 0.9582], [0.8364, 0.6727, 0.7500], [0.1636, 0.3273, 0.2500], [0.2626, 0.5252, 0.1297], [0.7374, 0.4748, 0.6297], [0.7374, 0.4748, 0.8703], [0.2626, 0.5252, 0.3703], [0.0000, 0.0000, 0.5000], [0.0000, 0.0000, 0.0000], [0.4178, 0.8356, 0.7500], [0.5822, 0.1644, 0.2500]]}

(6)
{"formula": "Cs2RbNaH", "functional": "GGA-PBE", "state": "relaxed", "energy_ev_per_atom": -1.41, "magnetic_moment_mub_per_atom": 0.1043, "crystal_system": "tetragonal", "dos_at_fermi_per_ev_cell": 2.76, "cell": [[-1.9991, 2.4791, -5.3167], [4.8210, -2.5059, -2.9812], [-4.1545, -6.3361, -1.3923]], "species": ["Cs", "Cs", "Na", "Rb", "H"], "frac_coords": [[0.0000, 0.5000, 0.0000], [0.5000, 0.0000, 0.0000], [0.0000, 0.0000, 0.5000], [0.5000, 0.5000, 0.5000], [0.0000, 0.0000, 0.0000]]}